Material: TiOsPt
Method: DFT, PBE-GGA
State: relaxed

abc: 4.0030 4.0030 6.6893
angles: 107.41 107.41 90.00
Sites, in units of the cell vectors:
Ti1 0.1442 0.1442 0.2884
Ti2 0.8558 0.8558 0.7116
Os1 0.0000 0.5000 0.0000
Os2 0.5000 0.0000 0.0000
Pt1 0.6515 0.6515 0.3030
Pt2 0.3485 0.3485 0.6970

## Properties
Calculated density = 14.81 g/cm³
Formation enthalpy at 0 K = -372 meV per atom
V = 16.2 Å³ per atom


Material: Tl2OsPt
Method: DFT, PBE-GGA
State: relaxed

abc: 4.7926 4.7926 3.3014
angles: 90.00 90.00 97.55
Sites, in units of the cell vectors:
Os1 0.5000 0.0000 0.5000
Pt1 0.0000 0.5000 0.5000
Tl1 0.0000 0.0000 0.0000
Tl2 0.5000 0.5000 0.0000

## Properties
Calculated density = 17.54 g/cm³
Formation enthalpy at 0 K = 667 meV per atom
V = 18.8 Å³ per atom


Material: TlOsPt2
Method: DFT, PBE-GGA
State: relaxed

abc: 5.0184 5.0184 2.8604
angles: 90.00 90.00 111.31
Sites, in units of the cell vectors:
Os1 0.0000 0.5000 0.5000
Pt1 0.0000 0.0000 0.0000
Pt2 0.5000 0.5000 0.0000
Tl1 0.5000 0.0000 0.5000

## Properties
Calculated density = 19.42 g/cm³
Formation enthalpy at 0 K = 400 meV per atom
V = 16.8 Å³ per atom


Material: TlOsPt2
Method: DFT, PBE-GGA
State: relaxed

abc: 9.3590 9.3590 9.3590
angles: 17.99 17.99 17.99
Sites, in units of the cell vectors:
Os1 0.7442 0.7442 0.7442
Pt1 0.0024 0.0024 0.0024
Pt2 0.2536 0.2536 0.2536
Tl1 0.4997 0.4997 0.4997

## Properties
Calculated density = 19.08 g/cm³
Formation enthalpy at 0 K = 475 meV per atom
V = 17.1 Å³ per atom


Material: Tl2OsPt
Method: DFT, PBE-GGA
State: relaxed

abc: 4.9243 4.9243 4.9243
angles: 126.13 126.13 79.68
Sites, in units of the cell vectors:
Os1 0.2500 0.7500 0.5000
Pt1 0.7500 0.2500 0.5000
Tl1 0.0000 0.0000 0.0000
Tl2 0.5000 0.5000 0.0000

## Properties
Calculated density = 17.52 g/cm³
Formation enthalpy at 0 K = 712 meV per atom
V = 18.8 Å³ per atom


Material: TlOsPt2
Method: DFT, PBE-GGA
State: relaxed

abc: 3.9760 3.9738 4.2523
angles: 90.00 90.00 90.00
Sites, in units of the cell vectors:
Os1 0.0000 0.5000 0.5000
Pt1 0.0000 0.0000 0.0000
Pt2 0.5000 0.5000 0.0000
Tl1 0.5000 0.0000 0.5000

## Properties
Calculated density = 19.40 g/cm³
Formation enthalpy at 0 K = 468 meV per atom
V = 16.8 Å³ per atom


Material: TlOs3Pt
Method: DFT, PBE-GGA
State: relaxed

abc: 4.8018 4.8018 4.8018
angles: 90.00 90.00 90.00
Sites, in units of the cell vectors:
Tl1 0.5000 0.5000 0.5000
Os1 0.0000 0.5000 0.0000
Os2 0.0000 0.0000 0.5000
Os3 0.5000 0.0000 0.0000
Pt1 0.0000 0.0000 0.0000

## Properties
Calculated density = 14.55 g/cm³
Formation enthalpy at 0 K = 2435 meV per atom
V = 22.1 Å³ per atom


Material: Tl2OsPt
Method: DFT, PBE-GGA
State: relaxed

abc: 4.7437 4.7437 4.7437
angles: 60.00 60.00 60.00
Sites, in units of the cell vectors:
Tl1 0.2500 0.2500 0.2500
Tl2 0.7500 0.7500 0.7500
Os1 0.0000 0.0000 0.0000
Pt1 0.5000 0.5000 0.5000

## Properties
Calculated density = 17.47 g/cm³
Formation enthalpy at 0 K = 738 meV per atom
V = 18.9 Å³ per atom


Material: Tl2OsPt
Method: DFT, PBE-GGA
State: relaxed

abc: 11.1640 11.1640 11.1640
angles: 15.38 15.38 15.38
Sites, in units of the cell vectors:
Os1 0.4895 0.4895 0.4895
Pt1 0.7603 0.7603 0.7603
Tl1 0.0154 0.0154 0.0154
Tl2 0.2347 0.2347 0.2347

## Properties
Calculated density = 15.47 g/cm³
Formation enthalpy at 0 K = 629 meV per atom
V = 21.3 Å³ per atom


Material: Tl2OsPt
Method: DFT, PBE-GGA
State: relaxed

abc: 3.4209 3.4178 6.4242
angles: 90.00 90.00 90.00
Sites, in units of the cell vectors:
Os1 0.5000 0.5000 0.2500
Pt1 0.5000 0.5000 0.7500
Tl1 0.0000 0.0000 0.0048
Tl2 0.0000 0.0000 0.4952

## Properties
Calculated density = 17.56 g/cm³
Formation enthalpy at 0 K = 683 meV per atom
V = 18.8 Å³ per atom


Material: TlOsPt2
Method: DFT, PBE-GGA
State: relaxed

abc: 4.9370 4.9370 4.9370
angles: 130.80 130.80 72.13
Sites, in units of the cell vectors:
Os1 0.7500 0.2500 0.5000
Pt1 0.0000 0.0000 0.0000
Pt2 0.5000 0.5000 0.0000
Tl1 0.2500 0.7500 0.5000

## Properties
Calculated density = 19.33 g/cm³
Formation enthalpy at 0 K = 502 meV per atom
V = 16.9 Å³ per atom


Material: TlOsPt2
Method: DFT, PBE-GGA
State: relaxed

abc: 2.8715 2.8715 9.8535
angles: 90.00 90.00 120.29
Sites, in units of the cell vectors:
Os1 0.5000 0.5000 0.7500
Pt1 0.0000 0.0000 0.9814
Pt2 0.0000 0.0000 0.5186
Tl1 0.5000 0.5000 0.2500

## Properties
Calculated density = 18.58 g/cm³
Formation enthalpy at 0 K = 515 meV per atom
V = 17.5 Å³ per atom


Material: Tl2OsPt
Method: DFT, PBE-GGA
State: relaxed

abc: 2.9399 2.9399 10.2620
angles: 90.00 90.00 90.00
Sites, in units of the cell vectors:
Os1 0.0000 0.0000 0.5406
Pt1 0.5000 0.5000 0.7017
Tl1 0.0000 0.0000 0.9533
Tl2 0.5000 0.5000 0.3044

## Properties
Calculated density = 14.87 g/cm³
Formation enthalpy at 0 K = 528 meV per atom
V = 22.2 Å³ per atom


Material: TlOsPt2
Method: DFT, PBE-GGA
State: relaxed

abc: 3.6941 2.7915 7.1962
angles: 76.94 90.00 90.00
Sites, in units of the cell vectors:
Os1 0.5000 0.7500 0.7500
Pt1 0.0000 0.1384 0.9532
Pt2 0.0000 0.3616 0.5468
Tl1 0.5000 0.2500 0.2500

## Properties
Calculated density = 18.03 g/cm³
Formation enthalpy at 0 K = 336 meV per atom
V = 18.1 Å³ per atom


Material: Tl2OsPt
Method: DFT, PBE-GGA
State: relaxed

abc: 5.5691 5.5691 5.5691
angles: 137.77 137.77 61.26
Sites, in units of the cell vectors:
Os1 0.5000 0.5000 0.0000
Pt1 0.7500 0.2500 0.5000
Tl1 0.0000 0.0000 0.0000
Tl2 0.2500 0.7500 0.5000

## Properties
Calculated density = 17.09 g/cm³
Formation enthalpy at 0 K = 800 meV per atom
V = 19.3 Å³ per atom


Material: TlOsPt2
Method: DFT, PBE-GGA
State: relaxed

abc: 9.6089 9.6089 9.6089
angles: 17.36 17.36 17.36
Sites, in units of the cell vectors:
Os1 0.7500 0.7500 0.7500
Pt1 0.0074 0.0074 0.0074
Pt2 0.4926 0.4926 0.4926
Tl1 0.2500 0.2500 0.2500

## Properties
Calculated density = 18.91 g/cm³
Formation enthalpy at 0 K = 356 meV per atom
V = 17.2 Å³ per atom


Material: Tl2OsPt
Method: DFT, PBE-GGA
State: relaxed

abc: 4.5722 3.0688 5.5714
angles: 87.46 90.00 90.00
Sites, in units of the cell vectors:
Os1 0.5000 0.2500 0.2500
Pt1 0.5000 0.7500 0.7500
Tl1 0.0000 0.9883 0.0027
Tl2 0.0000 0.5117 0.4973

## Properties
Calculated density = 16.88 g/cm³
Formation enthalpy at 0 K = 791 meV per atom
V = 19.5 Å³ per atom


Material: TlOsPt2
Method: DFT, PBE-GGA
State: relaxed

abc: 4.8813 4.8813 4.8813
angles: 129.64 129.64 73.98
Sites, in units of the cell vectors:
Os1 0.7500 0.2500 0.5000
Pt1 0.0000 0.0000 0.0000
Pt2 0.2500 0.7500 0.5000
Tl1 0.5000 0.5000 0.0000

## Properties
Calculated density = 19.37 g/cm³
Formation enthalpy at 0 K = 494 meV per atom
V = 16.8 Å³ per atom


Material: TlOsPt2
Method: DFT, PBE-GGA
State: relaxed

abc: 3.3627 3.3627 6.0874
angles: 90.00 90.00 90.00
Sites, in units of the cell vectors:
Os1 0.5000 0.5000 0.7850
Pt1 0.0000 0.0000 0.9848
Pt2 0.5000 0.5000 0.2356
Tl1 0.0000 0.0000 0.4946

## Properties
Calculated density = 18.93 g/cm³
Formation enthalpy at 0 K = 488 meV per atom
V = 17.2 Å³ per atom


Material: Tl2OsPt
Method: DFT, PBE-GGA
State: relaxed

abc: 2.9409 3.8716 8.0893
angles: 90.00 90.00 90.00
Sites, in units of the cell vectors:
Os1 0.0000 0.0000 0.5667
Pt1 0.5000 0.5000 0.6809
Tl1 0.0000 0.0000 0.9538
Tl2 0.5000 0.5000 0.2986

## Properties
Calculated density = 14.32 g/cm³
Formation enthalpy at 0 K = 529 meV per atom
V = 23.0 Å³ per atom


Material: TlOsPt2
Method: DFT, PBE-GGA
State: relaxed

abc: 2.8734 2.8734 9.8039
angles: 90.00 90.00 120.37
Sites, in units of the cell vectors:
Os1 0.5000 0.5000 0.7672
Pt1 0.0000 0.0000 0.9944
Pt2 0.5000 0.5000 0.2372
Tl1 0.0000 0.0000 0.5012

## Properties
Calculated density = 18.66 g/cm³
Formation enthalpy at 0 K = 599 meV per atom
V = 17.5 Å³ per atom


Material: Tl2OsPt
Method: DFT, PBE-GGA
State: relaxed

abc: 3.0915 3.0915 9.2070
angles: 90.00 90.00 118.03
Sites, in units of the cell vectors:
Os1 0.5000 0.5000 0.2500
Pt1 0.5000 0.5000 0.7500
Tl1 0.0000 0.0000 0.0005
Tl2 0.0000 0.0000 0.4995

## Properties
Calculated density = 16.98 g/cm³
Formation enthalpy at 0 K = 740 meV per atom
V = 19.4 Å³ per atom


Material: TlOsPt2
Method: DFT, PBE-GGA
State: relaxed

abc: 5.7018 5.7018 5.7018
angles: 151.49 128.50 59.92
Sites, in units of the cell vectors:
Os1 0.2382 0.7382 0.5000
Pt1 0.0101 0.0101 0.0000
Pt2 0.7569 0.2569 0.5000
Tl1 0.4948 0.4948 0.0000

## Properties
Calculated density = 18.96 g/cm³
Formation enthalpy at 0 K = 443 meV per atom
V = 17.2 Å³ per atom


Material: Tl2OsPt
Method: DFT, PBE-GGA
State: relaxed

abc: 4.2085 4.2085 10.0299
angles: 77.89 77.89 90.00
Sites, in units of the cell vectors:
Tl1 0.6200 0.1250 0.2500
Tl2 0.1300 0.6250 0.2500
Tl3 0.3750 0.3800 0.7500
Tl4 0.8750 0.8700 0.7500
Os1 0.5000 0.5000 0.0000
Os2 0.2500 0.7500 0.5000
Pt1 0.0000 0.0000 0.0000
Pt2 0.7500 0.2500 0.5000

## Properties
Calculated density = 15.55 g/cm³
Formation enthalpy at 0 K = 918 meV per atom
V = 21.2 Å³ per atom


Material: TlOsPt2
Method: DFT, PBE-GGA
State: relaxed

abc: 2.9543 2.9543 7.8464
angles: 90.00 90.00 90.00
Sites, in units of the cell vectors:
Os1 0.5000 0.5000 0.7790
Pt1 0.0000 0.0000 0.9881
Pt2 0.5000 0.5000 0.2309
Tl1 0.0000 0.0000 0.5020

## Properties
Calculated density = 19.03 g/cm³
Formation enthalpy at 0 K = 420 meV per atom
V = 17.1 Å³ per atom


Material: TlOsPt2
Method: DFT, PBE-GGA
State: relaxed

abc: 2.8821 2.8821 8.4666
angles: 90.00 90.00 90.00
Sites, in units of the cell vectors:
Os1 0.5000 0.5000 0.7500
Pt1 0.0000 0.0000 0.9632
Pt2 0.0000 0.0000 0.5368
Tl1 0.5000 0.5000 0.2500

## Properties
Calculated density = 18.53 g/cm³
Formation enthalpy at 0 K = 318 meV per atom
V = 17.6 Å³ per atom


Material: TlOsPt2
Method: DFT, PBE-GGA
State: relaxed

abc: 4.8405 4.8405 5.0679
angles: 81.31 81.31 35.58
Sites, in units of the cell vectors:
Os1 0.7500 0.7500 0.7500
Pt1 0.0086 0.0086 0.9763
Pt2 0.4914 0.4914 0.5237
Tl1 0.2500 0.2500 0.2500

## Properties
Calculated density = 19.10 g/cm³
Formation enthalpy at 0 K = 445 meV per atom
V = 17.1 Å³ per atom


Material: TlOsPt2
Method: DFT, PBE-GGA
State: relaxed

abc: 4.6030 4.6030 4.6030
angles: 60.00 60.00 60.00
Sites, in units of the cell vectors:
Tl1 0.5000 0.5000 0.5000
Os1 0.0000 0.0000 0.0000
Pt1 0.2500 0.2500 0.2500
Pt2 0.7500 0.7500 0.7500

## Properties
Calculated density = 18.90 g/cm³
Formation enthalpy at 0 K = 606 meV per atom
V = 17.2 Å³ per atom


Material: Tl2OsPt
Method: DFT, PBE-GGA
State: relaxed

abc: 4.7893 4.7893 4.7893
angles: 60.00 60.00 60.00
Sites, in units of the cell vectors:
Os1 0.5000 0.5000 0.5000
Pt1 0.7500 0.7500 0.7500
Tl1 0.0000 0.0000 0.0000
Tl2 0.2500 0.2500 0.2500

## Properties
Calculated density = 16.97 g/cm³
Formation enthalpy at 0 K = 908 meV per atom
V = 19.4 Å³ per atom


Material: TlOsPt2
Method: DFT, PBE-GGA
State: relaxed

abc: 4.8609 4.8609 8.5074
angles: 73.40 73.40 90.00
Sites, in units of the cell vectors:
Tl1 0.0000 0.0000 0.0000
Tl2 0.7500 0.2500 0.5000
Os1 0.5000 0.5000 0.0000
Os2 0.2500 0.7500 0.5000
Pt1 0.5515 0.1250 0.2500
Pt2 0.1985 0.6250 0.2500
Pt3 0.3750 0.4485 0.7500
Pt4 0.8750 0.8015 0.7500

## Properties
Calculated density = 14.17 g/cm³
Formation enthalpy at 0 K = 834 meV per atom
V = 23.0 Å³ per atom